[1]
The following is a DFT calculation (PBE) of an optimized crystal structure of SrOs3O.

Output
- N(E_F): 0.497 states/eV per atom
- ΔE to the lowest computed polymorph: 3124 meV/atom
- Raw formation energy: 4.1790 eV/atom
- Magnetic moment: 7.93 μB per cell

a b c (Å): 5.0312 5.0312 5.0312
angles (deg): 90.00 90.00 90.00
Last column: magnetic moment on the atom in μB.
Atoms (fractional coordinates):
Os 0.0000 0.0000 0.5000  1.91
Os 0.0000 0.5000 0.0000  2.14
Os 0.5000 0.0000 0.0000  2.13
O 0.5000 0.5000 0.5000  1.20
Sr 0.0000 0.0000 0.0000  -0.05

***

[2]
The following is a DFT calculation (PBE) of an optimized crystal structure of SrOsO3.

Output
- N(E_F): 0.584 states/eV per atom
- Raw formation energy: -1.6457 eV/atom
- Magnetic moment: 1.12 μB per cell

a b c (Å): 3.9928 3.9921 3.9921
angles (deg): 90.00 90.00 90.00
Last column: magnetic moment on the atom in μB.
Atoms (fractional coordinates):
O 0.0000 0.5000 0.0000  0.04
O 0.0000 0.0000 0.5000  0.16
O 0.5000 0.5000 0.5000  0.09
Sr 0.5000 0.0000 0.0000  0.00
Os 0.0000 0.5000 0.5000  0.75

***

[3]
The following is a DFT calculation (PBE) of an optimized crystal structure of SrOsO3.

Output
- N(E_F): 0.430 states/eV per atom
- Raw formation energy: -1.4960 eV/atom
- Magnetic moment: 0.00 μB per cell

a b c (Å): 3.8336 4.7378 4.7378
angles (deg): 87.74 90.00 90.00
Atoms (fractional coordinates):
O 0.0000 0.1121 0.8879
O 0.5000 0.2614 0.2663
O 0.5000 0.7337 0.7386
Os 0.5000 0.0263 0.9737
Sr 0.0000 0.4945 0.5055

***

[4]
The following is a DFT calculation (PBE) of an optimized crystal structure of SrOsO3.

Output
- N(E_F): 0.496 states/eV per atom
- Raw formation energy: -1.0281 eV/atom
- Magnetic moment: 1.92 μB per cell

a b c (Å): 3.9698 3.9698 10.3353
angles (deg): 78.93 78.93 90.00
Last column: magnetic moment on the atom in μB.
Atoms (fractional coordinates):
Sr 0.8536 0.3536 0.2928  0.01
Sr 0.6464 0.1464 0.7072  0.01
O 0.2513 0.2513 0.4973  0.00
O 0.1779 0.9187 0.1626  0.15
O 0.0813 0.8221 0.8374  0.14
O 0.7487 0.7487 0.5027  0.00
O 0.0813 0.3405 0.8374  0.14
O 0.6595 0.9187 0.1626  0.15
Os 0.0000 0.0000 0.0000  1.08
Os 0.2500 0.7500 0.5000  0.00

***

[5]
The following is a DFT calculation (PBE) of an optimized crystal structure of SrOsO3.

Output
- N(E_F): 0.536 states/eV per atom
- Raw formation energy: -1.2460 eV/atom
- Magnetic moment: 1.74 μB per cell

a b c (Å): 3.2894 5.9234 5.9234
angles (deg): 113.39 90.00 90.00
Last column: magnetic moment on the atom in μB.
Atoms (fractional coordinates):
O 0.5000 0.6328 0.7307  0.08
O 0.5000 0.2693 0.3672  0.08
O 0.0000 0.2344 0.7656  0.15
Sr 0.5000 0.0683 0.9317  0.02
Os 0.0000 0.4233 0.5767  1.19

***

[6]
The following is a DFT calculation (PBE) of an optimized crystal structure of SrOsO3.

Output
- N(E_F): 0.183 states/eV per atom
- Raw formation energy: -1.5923 eV/atom
- Magnetic moment: 2.00 μB per cell

a b c (Å): 12.3314 7.5435 7.5435
angles (deg): 91.35 130.86 49.14
Last column: magnetic moment on the atom in μB.
Atoms (fractional coordinates):
O 0.4512 0.6546 0.7460  0.01
O 0.9512 0.7540 0.8454  0.01
O 0.5488 0.3454 0.2540  0.01
O 0.4263 0.3839 0.4355  0.01
O 0.2115 0.5285 0.6927  0.09
O 0.0488 0.2460 0.1546  0.01
O 0.5737 0.6161 0.5645  0.01
O 0.7115 0.8073 0.9715  0.09
O 0.0737 0.9355 0.8839  0.01
O 0.2885 0.1927 0.0285  0.09
O 0.9263 0.0645 0.1161  0.01
O 0.7885 0.4715 0.3073  0.09
Sr 0.7804 0.6380 0.5945  0.01
Sr 0.2196 0.3620 0.4055  0.01
Sr 0.2804 0.9055 0.8620  0.01
Sr 0.7196 0.0945 0.1380  0.01
Os 0.2500 0.4900 0.9900  0.75
Os 0.2500 0.8123 0.3123  -0.09
Os 0.7500 0.5100 0.0100  0.75
Os 0.7500 0.1877 0.6877  -0.09

***

[7]
The following is a DFT calculation (PBE) of an optimized crystal structure of Sr2OsO6.

Output
- ΔE to the lowest computed polymorph: 0 meV/atom
- Raw formation energy: -1.9046 eV/atom
- Magnetic moment: 0.00 μB per cell

a b c (Å): 6.4164 5.7266 7.8748
angles (deg): 95.77 90.00 90.00
Atoms (fractional coordinates):
O 0.0528 0.1284 0.7228
O 0.2477 0.6254 0.9292
O 0.4472 0.6284 0.2228
O 0.9472 0.8716 0.2772
O 0.8577 0.2758 0.4548
O 0.7477 0.8746 0.5708
O 0.7523 0.3746 0.0708
O 0.3577 0.2242 0.0452
O 0.5528 0.3716 0.7772
O 0.6423 0.7758 0.9548
O 0.2523 0.1254 0.4292
O 0.1423 0.7242 0.5452
Sr 0.4123 0.9635 0.7506
Sr 0.0877 0.4635 0.2506
Sr 0.5877 0.0365 0.2494
Sr 0.9123 0.5365 0.7494
Os 0.5000 0.5000 0.0000
Os 0.0000 0.0000 0.5000

***

[8]
The following is a DFT calculation (PBE) of an optimized crystal structure of Sr3Os2O8.

Output
- N(E_F): 0.125 states/eV per atom
- Raw formation energy: -1.7050 eV/atom
- Magnetic moment: 0.00 μB per cell

a b c (Å): 6.0850 6.0850 7.2784
angles (deg): 65.29 65.29 60.00
Atoms (fractional coordinates):
Sr 0.0000 0.0000 0.0000
Sr 0.7901 0.7901 0.6298
Sr 0.2099 0.2099 0.3702
O 0.7875 0.2613 0.6899
O 0.2613 0.7875 0.6899
O 0.2613 0.2613 0.6899
O 0.3316 0.3316 0.0052
O 0.7387 0.7387 0.3101
O 0.7387 0.2125 0.3101
O 0.6684 0.6684 0.9948
O 0.2125 0.7387 0.3101
Os 0.5636 0.5636 0.3091
Os 0.4364 0.4364 0.6909